Crystalline YbCuSe2 at its relaxed geometry, computed with PBE.

## Properties
E	-4.1118	eV per atom
magnetization	0.190	μB per cell

Cell: 3.9240 3.9240 6.3926 Å, 90.00 90.00 120.00°
With the nearest neighbours (Å) after each atom.
Positions (direct):
Se1 0.3333 0.6667 0.2217  3 Cu 2.67, 3 Yb 2.88
Se2 0.6667 0.3333 0.7783  3 Cu 2.67, 3 Yb 2.88
Yb1 0.0000 0.0000 0.5000  6 Se 2.88, 2 Cu 3.20
Cu1 0.0000 0.0000 0.0000  6 Se 2.67

Crystalline ZnCuSe2 at its relaxed geometry, computed with PBE.

## Properties
E	-3.1029	eV per atom
magnetization	0.000	μB per cell

Cell: 3.6532 4.2968 5.0238 Å, 75.91 90.00 90.00°
With the nearest neighbours (Å) after each atom.
Positions (direct):
Cu1 0.5000 0.7500 0.7500  4 Se 2.54
Se1 0.0000 0.5137 0.5091  2 Cu 2.54, 2 Zn 2.65
Se2 0.0000 0.9863 0.9909  2 Cu 2.54, 2 Zn 2.65
Zn1 0.5000 0.2500 0.2500  4 Se 2.65, 2 Cu 2.88

Crystalline ZnCuSe2 at its relaxed geometry, computed with PBE.

## Properties
E	-3.0581	eV per atom
magnetization	0.000	μB per cell

Cell: 10.3719 10.3719 5.1121 Å, 90.00 90.00 164.29°
With the nearest neighbours (Å) after each atom.
Positions (direct):
Zn1 0.6849 0.3151 0.7500  7 Se 2.67-2.96, 2 Zn 2.83
Zn2 0.3151 0.6849 0.2500  7 Se 2.67-2.96, 2 Zn 2.83
Se1 0.8148 0.1852 0.7500  1 Cu 2.51, 1 Zn 2.67
Se2 0.0582 0.9418 0.7500  3 Cu 2.49-2.56
Se3 0.9418 0.0582 0.2500  3 Cu 2.49-2.56
Se4 0.1852 0.8148 0.2500  1 Cu 2.51, 1 Zn 2.67
Cu1 0.9369 0.0631 0.7500  4 Se 2.49-2.56
Cu2 0.0631 0.9369 0.2500  4 Se 2.49-2.56

Crystalline ZnCu4Se at its relaxed geometry, computed with PBE.

## Properties
E	-3.3925	eV per atom
magnetization	0.000	μB per cell

Cell: 4.9427 4.9427 4.9427 Å, 60.00 60.00 60.00°
With the nearest neighbours (Å) after each atom.
Positions (direct):
Se1 0.7500 0.7500 0.7500  12 Cu 2.90, 4 Zn 3.03
Cu1 0.3744 0.8769 0.3744  6 Cu 2.46-2.48
Cu2 0.8769 0.3744 0.3744  6 Cu 2.46-2.48
Cu3 0.3744 0.3744 0.3744  6 Cu 2.46-2.48
Cu4 0.3744 0.3744 0.8769  6 Cu 2.46-2.48
Zn1 0.0000 0.0000 0.0000  12 Cu 2.90, 4 Se 3.03